## Tm4In3Os (PBE-GGA)

Data for Tm4In3Os after structural relaxation.

Unit cell a=3.4834 b=3.4834 c=15.7348 alpha=90.00 beta=90.00 gamma=90.00
Closest atoms and distances in Å follow each position.
Space group P4/mmm (No. 123)
Symmetry-distinct sites (fractional):
Tm1 0.0000 0.0000 0.1013 [2 per cell]  4 Os 2.93, 1 Tm 3.19, 4 In 3.27
Tm2 0.0000 0.0000 0.3674 [2 per cell]  8 In 3.20-3.23, 4 Tm 3.48
In1 0.5000 0.5000 0.2377 [2 per cell]  8 Tm 3.20-3.27, 4 In 3.48
In2 0.5000 0.5000 0.5000 [1 per cell]  8 Tm 3.23, 4 In 3.48
Os1 0.5000 0.5000 0.0000 [1 per cell]  8 Tm 2.93

E_form: -0.43 eV/atom
size of the total moment: 0.0000 μB per atom